Record 1
DFT (PBE) results for a relaxed structure of YMnIr.

Calculated values
Formation energy from the elements (eV/atom): -0.517
Total energy (Ha/atom): -0.3190
Fermi-level density of states (states/eV/cell): 4.79

Cell lengths 5.280, 5.280, 5.280 Å; angles 120.72, 116.75, 92.24 degrees
Fractional coordinates of all 6 atoms:
Y (0.375, 0.125, 0.250)
Y (0.625, 0.875, 0.750)
Mn (0.000, 0.000, 0.500)
Mn (0.000, 0.500, 0.000)
Ir (0.000, 0.500, 0.500)
Ir (0.500, 0.500, 0.000)

***

Record 2
DFT (PBE) results for a relaxed structure of YMn2Ir.

Calculated values
Formation energy from the elements (eV/atom): 0.536
Total energy (Ha/atom): -0.2896
Fermi-level density of states (states/eV/cell): 20.37

Cell lengths 5.766, 5.766, 5.766 Å; angles 103.15, 103.15, 123.02 degrees
Fractional coordinates of all 8 atoms:
Y (0.000, 0.000, 0.000)
Y (0.750, 0.250, 0.500)
Mn (0.185, 0.625, 0.060)
Mn (0.375, 0.435, 0.560)
Mn (0.565, 0.125, 0.940)
Mn (0.875, 0.815, 0.440)
Ir (0.250, 0.750, 0.500)
Ir (0.500, 0.500, 0.000)

***

Record 3
DFT (PBE) results for a relaxed structure of YMn2Ir2.

Calculated values
Formation energy from the elements (eV/atom): -0.132
Total energy (Ha/atom): -0.3174
Fermi-level density of states (states/eV/cell): 11.14

Cell lengths 7.402, 7.402, 2.754 Å; angles 90.00, 90.00, 90.00 degrees
Fractional coordinates of all 10 atoms:
Y (0.000, 0.000, 0.000)
Y (0.500, 0.500, 0.000)
Mn (0.114, 0.386, 0.000)
Mn (0.386, 0.886, 0.000)
Mn (0.614, 0.114, 0.000)
Mn (0.886, 0.614, 0.000)
Ir (0.175, 0.675, 0.500)
Ir (0.325, 0.175, 0.500)
Ir (0.675, 0.825, 0.500)
Ir (0.825, 0.325, 0.500)

***

Record 4
DFT (PBE) results for a relaxed structure of YMn2Ir.

Calculated values
Formation energy from the elements (eV/atom): -0.022
Total energy (Ha/atom): -0.3101
Fermi-level density of states (states/eV/cell): 3.37

Cell lengths 3.965, 4.084, 4.334 Å; angles 90.00, 90.00, 90.00 degrees
Fractional coordinates of all 4 atoms:
Y (0.000, 0.000, 0.000)
Mn (0.000, 0.500, 0.500)
Mn (0.500, 0.000, 0.500)
Ir (0.500, 0.500, 0.000)

***

Record 5
DFT (PBE) results for a relaxed structure of YMn2Ir.

Calculated values
Formation energy from the elements (eV/atom): 0.035
Total energy (Ha/atom): -0.3080
Fermi-level density of states (states/eV/cell): 3.47

Cell lengths 5.194, 5.194, 5.194 Å; angles 134.27, 134.27, 66.67 degrees
Fractional coordinates of all 4 atoms:
Y (0.000, 0.000, 0.000)
Mn (0.250, 0.750, 0.500)
Mn (0.750, 0.250, 0.500)
Ir (0.500, 0.500, 0.000)

***

Record 6
DFT (PBE) results for a relaxed structure of YMn2Ir.

Calculated values
Formation energy from the elements (eV/atom): 0.447
Total energy (Ha/atom): -0.2929
Fermi-level density of states (states/eV/cell): 5.03

Cell lengths 9.429, 9.429, 9.429 Å; angles 18.27, 18.27, 18.27 degrees
Fractional coordinates of all 4 atoms:
Y (0.000, 0.000, 0.000)
Mn (0.238, 0.238, 0.238)
Mn (0.762, 0.762, 0.762)
Ir (0.500, 0.500, 0.500)

***

Record 7
DFT (PBE) results for a relaxed structure of YMnIr.

Calculated values
Formation energy from the elements (eV/atom): -0.149
Total energy (Ha/atom): -0.3055
Fermi-level density of states (states/eV/cell): 1.43

Cell lengths 4.564, 4.564, 4.564 Å; angles 60.00, 60.00, 60.00 degrees
Fractional coordinates of all 3 atoms:
Y (0.000, 0.000, 0.000)
Mn (0.500, 0.500, 0.500)
Ir (0.750, 0.750, 0.750)

***

Record 8
DFT (PBE) results for a relaxed structure of YMn2Ir.

Calculated values
Formation energy from the elements (eV/atom): -0.142
Total energy (Ha/atom): -0.3145
Fermi-level density of states (states/eV/cell): 3.51

Cell lengths 5.573, 5.573, 5.573 Å; angles 43.68, 43.68, 43.68 degrees
Fractional coordinates of all 4 atoms:
Y (0.000, 0.000, 0.000)
Mn (0.193, 0.193, 0.193)
Mn (0.519, 0.519, 0.519)
Ir (0.786, 0.786, 0.786)

***

Record 9
DFT (PBE) results for a relaxed structure of Y4MnIr.

Calculated values
Formation energy from the elements (eV/atom): 0.782
Total energy (Ha/atom): -0.2401
Fermi-level density of states (states/eV/cell): 6.62

Cell lengths 5.994, 5.994, 5.994 Å; angles 60.00, 60.00, 60.00 degrees
Fractional coordinates of all 6 atoms:
Y (0.124, 0.124, 0.124)
Y (0.124, 0.124, 0.628)
Y (0.124, 0.628, 0.124)
Y (0.628, 0.124, 0.124)
Mn (0.500, 0.500, 0.500)
Ir (0.750, 0.750, 0.750)

***

Record 10
DFT (PBE) results for a relaxed structure of Mn2ZnIr.

Calculated values
Formation energy from the elements (eV/atom): -0.014
Total energy (Ha/atom): -0.2621
Fermi-level density of states (states/eV/cell): 3.33

Cell lengths 4.581, 4.581, 4.581 Å; angles 131.46, 131.46, 71.09 degrees
Fractional coordinates of all 4 atoms:
Mn (0.250, 0.750, 0.500)
Mn (0.750, 0.250, 0.500)
Zn (0.000, 0.000, 0.000)
Ir (0.500, 0.500, 0.000)

***

Record 11
DFT (PBE) results for a relaxed structure of Mn2ZnIr2.

Calculated values
Formation energy from the elements (eV/atom): 0.083
Total energy (Ha/atom): -0.2713
Fermi-level density of states (states/eV/cell): 9.02

Cell lengths 7.185, 7.185, 2.678 Å; angles 90.00, 90.00, 90.00 degrees
Fractional coordinates of all 10 atoms:
Mn (0.116, 0.384, 0.000)
Mn (0.384, 0.884, 0.000)
Mn (0.616, 0.116, 0.000)
Mn (0.884, 0.616, 0.000)
Zn (0.000, 0.000, 0.000)
Zn (0.500, 0.500, 0.000)
Ir (0.175, 0.675, 0.500)
Ir (0.325, 0.175, 0.500)
Ir (0.675, 0.825, 0.500)
Ir (0.825, 0.325, 0.500)

***

Record 12
DFT (PBE) results for a relaxed structure of MnZn6Ir.

Calculated values
Formation energy from the elements (eV/atom): -0.077
Total energy (Ha/atom): -0.1208
Fermi-level density of states (states/eV/cell): 3.62

Cell lengths 4.731, 4.731, 5.950 Å; angles 103.66, 103.66, 109.45 degrees
Fractional coordinates of all 8 atoms:
Mn (0.000, 0.000, 0.000)
Zn (0.114, 0.614, 0.242)
Zn (0.251, 0.251, 0.504)
Zn (0.386, 0.886, 0.758)
Zn (0.614, 0.114, 0.242)
Zn (0.749, 0.749, 0.496)
Zn (0.886, 0.386, 0.758)
Ir (0.500, 0.500, 0.000)